1.
# Na4Ho3US8

An optimized crystal structure of Na4Ho3US8 (PBE-GGA, Alexandria).

a b c (Å): 7.9504 8.1158 7.9505
angles (deg): 119.36 120.00 90.00
Each line ends with the local moment (μB).
Sites, in units of the cell vectors:
S (0.2594, 0.2726, 0.0159)  -0.02
S (0.7421, 0.7261, 0.4842)  0.00
S (0.2435, 0.7274, 0.4871)  -0.02
S (0.2579, 0.2739, 0.5158)  0.00
S (0.7406, 0.7274, 0.9841)  -0.02
S (0.7565, 0.2726, 0.0159)  -0.02
S (0.7565, 0.2726, 0.5129)  -0.02
S (0.2435, 0.7274, 0.9841)  -0.02
Na (0.0000, 0.0000, 0.5000)  0.00
Na (0.5000, 0.0000, 0.0000)  0.00
Na (0.5000, 0.0000, 0.5000)  0.00
Na (0.0000, 0.0000, 0.0000)  0.00
U (0.0000, 0.5000, 0.0000)  2.52
Ho (0.5000, 0.5000, 0.0000)  0.08
Ho (0.0000, 0.5000, 0.5000)  0.08
Ho (0.5000, 0.5000, 0.5000)  0.08

## Properties
The value obtained for the formation energy from raw total energies is -1.7067 eV per atom. As for the total energy: -90.62 eV per cell. For the calculated volume, the calculation gives 22.89 Å³/atom.

2.
# Na3HoU2S6

An optimized crystal structure of Na3HoU2S6 (PBE-GGA, Alexandria).

a b c (Å): 6.8677 6.8677 7.1163
angles (deg): 99.25 99.25 120.00
Each line ends with the local moment (μB).
Sites, in units of the cell vectors:
S (0.0765, 0.4087, 0.2296)  -0.04
S (0.4087, 0.0765, 0.2296)  -0.04
S (0.9235, 0.5913, 0.7704)  -0.04
S (0.5913, 0.9235, 0.7704)  -0.04
S (0.7442, 0.7442, 0.2294)  -0.04
S (0.2558, 0.2558, 0.7706)  -0.04
U (0.6668, 0.3332, 0.0000)  2.60
U (0.3332, 0.6668, 0.0000)  2.60
Na (0.1661, 0.8339, 0.5000)  0.00
Na (0.8339, 0.1661, 0.5000)  0.00
Na (0.5000, 0.5000, 0.5000)  0.00
Ho (0.0000, 0.0000, 0.0000)  0.18

## Properties
The value obtained for the formation energy from raw total energies is -1.4987 eV per atom. As for the total energy: -73.86 eV per cell. For the calculated volume, the calculation gives 22.94 Å³/atom.

3.
# NaHo4US8

An optimized crystal structure of NaHo4US8 (PBE-GGA, Alexandria).

a b c (Å): 8.0625 8.0625 8.0984
angles (deg): 60.15 60.15 60.00
Each line ends with the local moment (μB).
Sites, in units of the cell vectors:
S (0.7840, 0.2393, 0.7375)  -0.02
S (0.7548, 0.7548, 0.2624)  -0.02
S (0.7586, 0.7586, 0.7242)  0.00
S (0.2279, 0.7548, 0.2624)  -0.02
S (0.2393, 0.2393, 0.7375)  -0.02
S (0.2392, 0.2392, 0.2825)  0.00
S (0.2393, 0.7840, 0.7375)  -0.02
S (0.7548, 0.2279, 0.2624)  -0.02
Ho (0.6262, 0.6262, 0.1215)  0.05
Ho (0.4886, 0.0048, 0.5018)  0.06
Ho (0.0048, 0.0048, 0.5018)  0.06
Ho (0.0048, 0.4886, 0.5018)  0.06
U (0.0031, 0.0031, 0.9906)  2.52
Na (0.3746, 0.3746, 0.8763)  0.00

## Properties
The value obtained for the formation energy from raw total energies is -1.7964 eV per atom. As for the total energy: -89.09 eV per cell. For the calculated volume, the calculation gives 26.65 Å³/atom.

4.
# Na2Ho2US6

An optimized crystal structure of Na2Ho2US6 (PBE-GGA, Alexandria).

a b c (Å): 6.8864 6.8864 7.1083
angles (deg): 99.26 99.26 119.97
Each line ends with the local moment (μB).
Sites, in units of the cell vectors:
Na (0.8312, 0.1688, 0.0000)  0.00
Na (0.1688, 0.8312, 0.0000)  0.00
S (0.9309, 0.5972, 0.2804)  -0.02
S (0.0691, 0.4028, 0.7196)  -0.02
S (0.5972, 0.9309, 0.2804)  -0.02
S (0.2532, 0.2532, 0.2809)  -0.03
S (0.7468, 0.7468, 0.7191)  -0.03
S (0.4028, 0.0691, 0.7196)  -0.02
U (0.0000, 0.0000, 0.5000)  2.01
Ho (0.3339, 0.6661, 0.5000)  0.02
Ho (0.6661, 0.3339, 0.5000)  0.02

## Properties
The value obtained for the formation energy from raw total energies is -1.6964 eV per atom. As for the total energy: -66.51 eV per cell. For the calculated volume, the calculation gives 25.14 Å³/atom.